[1]
A geometry-optimized Y4HoGa2 structure, computed with PBE.

Results
D(E_F): 8.8 states/eV/cell
total magnetic moment: 0.002 μB per formula unit
space group: R-3m, No. 166
formation energy: -122 meV/atom

abc: 4.9404 4.9404 10.3530
angles: 76.20 76.20 60.00
Fractional coordinates of all 7 atoms:
Y  0.7022  0.7022  0.8934
Ho  0.5000  0.5000  0.5000
Ga  0.5995  0.5995  0.2014
Y  0.8965  0.8965  0.3104
Y  0.1035  0.1035  0.6896
Y  0.2978  0.2978  0.1066
Ga  0.4005  0.4005  0.7986



[2]
A geometry-optimized CeNd2SnN structure, computed with PBE.

Results
D(E_F): 7.2 states/eV/cell
total magnetic moment: 0.840 μB per formula unit
space group: P4/mmm, No. 123
formation energy from raw total energies: -948 meV per atom

abc: 4.8353 5.0520 5.0520
angles: 90.00 90.00 90.00
Each line ends with the local moment (μB).
Fractional coordinates of all 5 atoms:
Nd  0.0000  0.0000  0.5000  0.05
Ce  0.5000  0.0000  0.0000  0.59
Nd  0.0000  0.5000  0.0000  0.05
Sn  0.5000  0.5000  0.5000  -0.01
N  0.0000  0.0000  0.0000  -0.02



[3]
A geometry-optimized LiTc2Br structure, computed with PBE.

Results
D(E_F): 3.5 states/eV/cell
ΔE to the lowest computed polymorph: 613 meV per atom
total magnetic moment: 0.000 μB per formula unit
space group: I-4m2, No. 119
formation energy from raw total energies: 648 meV per atom

abc: 4.4957 4.4957 4.4957
angles: 123.33 123.33 84.32
Fractional coordinates of all 4 atoms:
Br  0.5000  0.5000  0.0000
Tc  0.0000  0.0000  0.0000
Li  0.7500  0.2500  0.5000
Tc  0.2500  0.7500  0.5000



[4]
A geometry-optimized PuNi5Ge2 structure, computed with PBE.

Results
D(E_F): 13.6 states/eV/cell
total magnetic moment: 5.492 μB per formula unit
space group: Immm, No. 71
formation energy: -318 meV/atom

abc: 3.6694 6.0223 6.0223
angles: 67.20 72.26 72.26
Each line ends with the local moment (μB).
Fractional coordinates of all 8 atoms:
Ni  0.0000  0.5000  0.5000  0.07
Ge  0.2486  0.2514  0.2514  -0.01
Ni  0.6389  0.1743  0.5479  0.05
Ni  0.6389  0.5479  0.1743  0.05
Ni  0.3611  0.8257  0.4521  0.05
Ge  0.7514  0.7486  0.7486  -0.01
Pu  0.0000  0.0000  0.0000  5.04
Ni  0.3611  0.4521  0.8257  0.05



[5]
A geometry-optimized AcTb2Dy structure, computed with PBE.

Results
D(E_F): 6.4 states/eV/cell
ΔE to the lowest computed polymorph: 2 meV per atom
total magnetic moment: 0.000 μB per formula unit
space group: P4/mmm, No. 123
formation energy: 56 meV/atom

abc: 3.6888 3.6888 10.2262
angles: 90.00 90.00 90.00
Fractional coordinates of all 4 atoms:
Ac  0.5000  0.5000  0.5000
Dy  0.5000  0.5000  0.0000
Tb  0.0000  0.0000  0.7644
Tb  0.0000  0.0000  0.2356



[6]
A geometry-optimized Cs2Cd5Au5 structure, computed with PBE.

Results
D(E_F): 1.9 states/eV/cell
total magnetic moment: 0.000 μB per formula unit
space group: Pmmm, No. 47
formation energy: -187 meV/atom

abc: 4.2010 6.7104 11.6404
angles: 90.00 90.00 90.00
Fractional coordinates of all 12 atoms:
Cs  0.0000  0.0000  0.5000
Cd  0.0000  0.0000  0.1811
Au  0.5000  0.2634  0.2430
Cd  0.0000  0.0000  0.8189
Cd  0.5000  0.0000  0.0000
Au  0.5000  0.7366  0.7570
Cs  0.0000  0.5000  0.0000
Au  0.5000  0.7366  0.2430
Au  0.5000  0.2634  0.7570
Cd  0.0000  0.5000  0.6639
Cd  0.0000  0.5000  0.3361
Au  0.5000  0.5000  0.5000



[7]
A geometry-optimized AlRe2Hg structure, computed with PBE.

Results
D(E_F): 4.5 states/eV/cell
ΔE to the lowest computed polymorph: 596 meV per atom
total magnetic moment: 0.000 μB per formula unit
space group: Fm-3m, No. 225
formation energy: 749 meV/atom

abc: 4.4841 4.4841 4.4841
angles: 60.00 60.00 60.00
Fractional coordinates of all 4 atoms:
Al  0.0000  0.0000  0.0000
Re  0.7500  0.7500  0.7500
Re  0.2500  0.2500  0.2500
Hg  0.5000  0.5000  0.5000



[8]
A geometry-optimized TmGaNi6 structure, computed with PBE.

Results
D(E_F): 11.8 states/eV/cell
total magnetic moment: 0.860 μB per formula unit
space group: P4/mmm, No. 123
formation energy: -127 meV/atom

abc: 3.7363 3.7363 8.1015
angles: 90.00 90.00 90.00
Each line ends with the local moment (μB).
Fractional coordinates of all 8 atoms:
Ni  0.5000  0.0000  0.3159  0.14
Tm  0.0000  0.0000  0.0000  -0.04
Ga  0.0000  0.0000  0.5000  -0.01
Ni  0.5000  0.0000  0.6841  0.14
Ni  0.0000  0.5000  0.6841  0.14
Ni  0.0000  0.5000  0.3159  0.14
Ni  0.5000  0.5000  0.8618  0.21
Ni  0.5000  0.5000  0.1382  0.21



[9]
A geometry-optimized InCoN2 structure, computed with PBE.

Results
D(E_F): 3.4 states/eV/cell
total magnetic moment: 0.356 μB per formula unit
space group: R-3m, No. 166
formation energy from raw total energies: 587 meV per atom

abc: 6.5679 6.5679 6.5679
angles: 25.82 25.82 25.82
Each line ends with the local moment (μB).
Fractional coordinates of all 4 atoms:
N  0.8834  0.8834  0.8834  0.03
N  0.1166  0.1166  0.1166  0.03
Co  0.5000  0.5000  0.5000  0.28
In  0.0000  0.0000  0.0000  0.01



[10]
A geometry-optimized Cu4AgPd6 structure, computed with PBE.

Results
D(E_F): 11.4 states/eV/cell
total magnetic moment: 0.000 μB per formula unit
space group: I-42m, No. 121
formation energy: 310 meV/atom

abc: 6.5308 6.5308 6.5308
angles: 85.77 122.47 122.47
Fractional coordinates of all 11 atoms:
Pd  0.5000  0.5000  0.0000
Pd  0.6972  0.2302  0.2302
Cu  0.0000  0.1088  0.6016
Pd  0.0000  0.7698  0.4669
Cu  0.0000  0.6016  0.1088
Pd  0.3028  0.5331  0.5331
Ag  0.0000  0.0000  0.0000
Pd  0.5000  0.0000  0.5000
Cu  0.4929  0.8912  0.8912
Pd  0.0000  0.4669  0.7698
Cu  0.5071  0.3984  0.3984



[11]
A geometry-optimized LiCe2B10 structure, computed with PBE.

Results
D(E_F): 12.9 states/eV/cell
total magnetic moment: 0.225 μB per formula unit
space group: Pbam, No. 55
formation energy: -460 meV/atom

abc: 4.1331 5.6745 11.2613
angles: 90.00 90.00 90.00
Each line ends with the local moment (μB).
Fractional coordinates of all 26 atoms:
Li  0.0000  0.5000  0.5000  0.00
Ce  0.5000  0.6968  0.1383  0.10
B  0.0000  0.1185  0.5427  0.00
Ce  0.5000  0.8032  0.6383  0.10
B  0.0000  0.6414  0.8015  0.00
B  0.0000  0.1414  0.6985  0.00
B  0.0000  0.0514  0.1913  0.00
Ce  0.5000  0.1968  0.3617  0.10
B  0.0000  0.3815  0.0427  0.00
B  0.6990  0.7843  0.8826  0.00
B  0.3010  0.2843  0.6174  0.00
B  0.0000  0.4486  0.6913  0.00
B  0.0000  0.6185  0.9573  0.00
B  0.0000  0.8815  0.4573  0.00
B  0.3010  0.7157  0.3826  0.00
B  0.0000  0.9486  0.8087  0.00
B  0.6990  0.7157  0.3826  0.00
Ce  0.5000  0.3032  0.8617  0.10
Li  0.0000  0.0000  0.0000  0.00
B  0.0000  0.8586  0.3015  0.00
B  0.3010  0.2157  0.1174  0.00
B  0.0000  0.3586  0.1985  0.00
B  0.6990  0.2157  0.1174  0.00
B  0.0000  0.5514  0.3087  0.00
B  0.3010  0.7843  0.8826  0.00
B  0.6990  0.2843  0.6174  0.00



[12]
A geometry-optimized RbTl2RhF8 structure, computed with PBE.

Results
D(E_F): 4.7 states/eV/cell
total magnetic moment: 0.000 μB per formula unit
space group: P-1, No. 2
formation energy from raw total energies: -1859 meV per atom

abc: 4.7898 5.7871 7.8687
angles: 90.53 86.73 101.63
Fractional coordinates of all 12 atoms:
F  0.9501  0.2272  0.8224
F  0.3864  0.1929  0.9982
F  0.0808  0.7844  0.8135
F  0.0499  0.7728  0.1776
Tl  0.5525  0.4882  0.2444
F  0.6136  0.8071  0.0018
Rh  0.0000  0.0000  0.0000
F  0.4410  0.7112  0.4900
F  0.9192  0.2156  0.1865
Tl  0.4475  0.5118  0.7556
Rb  0.0000  0.0000  0.5000
F  0.5590  0.2888  0.5100